# MgGe3C (PBE, relaxed)
# **Space-group type**: Pm-3m, No. 221
# **Calculated total energy**: -2.9624 eV/atom
# **ρ**: 3465 kg/m³
# **DFT formation energy**: 951 kJ/mol of formula units
# **ΔE to the lowest computed polymorph**: 1125 meV per atom
# **M_tot**: 1.2 μB per cell
# **N(E_F)**: 2.41 states/eV per cell
# **Calculated volume**: 122 Å³/cell
# **Crystal system**: cubic
data_MgGe3C
_cell_length_a 4.9574
_cell_length_b 4.9574
_cell_length_c 4.9574
_cell_angle_alpha 90.00
_cell_angle_beta 90.00
_cell_angle_gamma 90.00
_space_group_name_H-M_alt 'P 1'
_space_group_IT_number 1
loop_
_space_group_symop_operation_xyz
'x,y,z'
loop_
_atom_site_label
_atom_site_type_symbol
_atom_site_fract_x
_atom_site_fract_y
_atom_site_fract_z
Mg1 Mg 0.0000 0.0000 0.0000
Ge1 Ge 0.0000 0.0000 0.5000
Ge2 Ge 0.0000 0.5000 0.0000
Ge3 Ge 0.5000 0.0000 0.0000
C1 C 0.5000 0.5000 0.5000


# Mg2GeC (PBE, relaxed)
# **Space-group type**: I-42d, No. 122
# **Calculated total energy**: -3.6538 eV/atom
# **ρ**: 3125 kg/m³
# **DFT formation energy**: 233 kJ/mol of formula units
# **ΔE to the lowest computed polymorph**: 0 meV per atom
# **M_tot**: 0.0 μB per cell
# **N(E_F)**: 3.17 states/eV per cell
# **Calculated volume**: 142 Å³/cell
# **Crystal system**: tetragonal
data_Mg2GeC
_cell_length_a 6.0942
_cell_length_b 6.0942
_cell_length_c 6.0942
_cell_angle_alpha 97.41
_cell_angle_beta 97.41
_cell_angle_gamma 137.90
_space_group_name_H-M_alt 'P 1'
_space_group_IT_number 1
loop_
_space_group_symop_operation_xyz
'x,y,z'
loop_
_atom_site_label
_atom_site_type_symbol
_atom_site_fract_x
_atom_site_fract_y
_atom_site_fract_z
Mg1 Mg 0.3750 0.0168 0.1418
Mg2 Mg 0.7668 0.6250 0.6418
Mg3 Mg 0.8750 0.2332 0.8582
Mg4 Mg 0.9832 0.1250 0.3582
Ge1 Ge 0.2500 0.7500 0.5000
Ge2 Ge 0.5000 0.5000 0.0000
C1 C 0.0000 0.0000 0.0000
C2 C 0.7500 0.2500 0.5000


# MgGe2C2 (PBE, relaxed)
# **Space-group type**: P4/mbm, No. 127
# **Calculated total energy**: -4.6924 eV/atom
# **ρ**: 3708 kg/m³
# **DFT formation energy**: 561 kJ/mol of formula units
# **ΔE to the lowest computed polymorph**: 82 meV per atom
# **M_tot**: 0.0 μB per cell
# **N(E_F)**: 4.72 states/eV per cell
# **Calculated volume**: 173 Å³/cell
# **Crystal system**: tetragonal
data_MgGe2C2
_cell_length_a 7.3653
_cell_length_b 7.3653
_cell_length_c 3.1965
_cell_angle_alpha 90.00
_cell_angle_beta 90.00
_cell_angle_gamma 90.00
_space_group_name_H-M_alt 'P 1'
_space_group_IT_number 1
loop_
_space_group_symop_operation_xyz
'x,y,z'
loop_
_atom_site_label
_atom_site_type_symbol
_atom_site_fract_x
_atom_site_fract_y
_atom_site_fract_z
Mg1 Mg 0.0000 0.0000 0.0000
Mg2 Mg 0.5000 0.5000 0.0000
Ge1 Ge 0.1601 0.3399 0.0000
Ge2 Ge 0.3399 0.8399 0.0000
Ge3 Ge 0.6601 0.1601 0.0000
Ge4 Ge 0.8399 0.6601 0.0000
C1 C 0.0649 0.5649 0.5000
C2 C 0.4351 0.0649 0.5000
C3 C 0.5649 0.9351 0.5000
C4 C 0.9351 0.4351 0.5000


# MgGe2C2 (PBE, relaxed)
# **Space-group type**: I4/mmm, No. 139
# **Calculated total energy**: -4.7741 eV/atom
# **ρ**: 4917 kg/m³
# **DFT formation energy**: 522 kJ/mol of formula units
# **ΔE to the lowest computed polymorph**: 0 meV per atom
# **M_tot**: 0.0 μB per cell
# **N(E_F)**: 1.06 states/eV per cell
# **Calculated volume**: 65 Å³/cell
# **Crystal system**: tetragonal
data_MgGe2C2
_cell_length_a 4.8954
_cell_length_b 4.8954
_cell_length_c 4.8954
_cell_angle_alpha 130.99
_cell_angle_beta 130.99
_cell_angle_gamma 71.83
_space_group_name_H-M_alt 'P 1'
_space_group_IT_number 1
loop_
_space_group_symop_operation_xyz
'x,y,z'
loop_
_atom_site_label
_atom_site_type_symbol
_atom_site_fract_x
_atom_site_fract_y
_atom_site_fract_z
Mg1 Mg 0.0000 0.0000 0.0000
Ge1 Ge 0.3397 0.3397 0.0000
Ge2 Ge 0.6603 0.6603 0.0000
C1 C 0.2500 0.7500 0.5000
C2 C 0.7500 0.2500 0.5000


# Mg2GeC (PBE, relaxed)
# **Space-group type**: Fm-3m, No. 225
# **Calculated total energy**: -3.4299 eV/atom
# **ρ**: 3549 kg/m³
# **DFT formation energy**: 319 kJ/mol of formula units
# **ΔE to the lowest computed polymorph**: 224 meV per atom
# **M_tot**: 0.0 μB per cell
# **N(E_F)**: 1.46 states/eV per cell
# **Calculated volume**: 62 Å³/cell
# **Crystal system**: cubic
data_Mg2GeC
_cell_length_a 4.4509
_cell_length_b 4.4509
_cell_length_c 4.4509
_cell_angle_alpha 60.00
_cell_angle_beta 60.00
_cell_angle_gamma 60.00
_space_group_name_H-M_alt 'P 1'
_space_group_IT_number 1
loop_
_space_group_symop_operation_xyz
'x,y,z'
loop_
_atom_site_label
_atom_site_type_symbol
_atom_site_fract_x
_atom_site_fract_y
_atom_site_fract_z
Mg1 Mg 0.2500 0.2500 0.2500
Mg2 Mg 0.7500 0.7500 0.7500
Ge1 Ge 0.0000 0.0000 0.0000
C1 C 0.5000 0.5000 0.5000


# Mg3GeC (PBE, relaxed)
# **Space-group type**: Pm-3m, No. 221
# **Calculated total energy**: -3.5842 eV/atom
# **ρ**: 3090 kg/m³
# **DFT formation energy**: 68 kJ/mol of formula units
# **ΔE to the lowest computed polymorph**: 0 meV per atom
# **M_tot**: 0.0 μB per cell
# **N(E_F)**: 3.54 states/eV per cell
# **Calculated volume**: 85 Å³/cell
# **Crystal system**: cubic
data_Mg3GeC
_cell_length_a 4.3910
_cell_length_b 4.3910
_cell_length_c 4.3910
_cell_angle_alpha 90.00
_cell_angle_beta 90.00
_cell_angle_gamma 90.00
_space_group_name_H-M_alt 'P 1'
_space_group_IT_number 1
loop_
_space_group_symop_operation_xyz
'x,y,z'
loop_
_atom_site_label
_atom_site_type_symbol
_atom_site_fract_x
_atom_site_fract_y
_atom_site_fract_z
Mg1 Mg 0.0000 0.0000 0.5000
Mg2 Mg 0.0000 0.5000 0.0000
Mg3 Mg 0.5000 0.0000 0.0000
Ge1 Ge 0.5000 0.5000 0.5000
C1 C 0.0000 0.0000 0.0000


# MgGe3C (PBE, relaxed)
# **Space-group type**: Pm-3m, No. 221
# **Calculated total energy**: -4.0879 eV/atom
# **ρ**: 4884 kg/m³
# **DFT formation energy**: 408 kJ/mol of formula units
# **ΔE to the lowest computed polymorph**: 0 meV per atom
# **M_tot**: 0.0 μB per cell
# **N(E_F)**: 3.17 states/eV per cell
# **Calculated volume**: 86 Å³/cell
# **Crystal system**: cubic
data_MgGe3C
_cell_length_a 4.4215
_cell_length_b 4.4215
_cell_length_c 4.4215
_cell_angle_alpha 90.00
_cell_angle_beta 90.00
_cell_angle_gamma 90.00
_space_group_name_H-M_alt 'P 1'
_space_group_IT_number 1
loop_
_space_group_symop_operation_xyz
'x,y,z'
loop_
_atom_site_label
_atom_site_type_symbol
_atom_site_fract_x
_atom_site_fract_y
_atom_site_fract_z
Mg1 Mg 0.0000 0.0000 0.0000
Ge1 Ge 0.0000 0.5000 0.5000
Ge2 Ge 0.5000 0.0000 0.5000
Ge3 Ge 0.5000 0.5000 0.0000
C1 C 0.5000 0.5000 0.5000


# MgGeC2 (PBE, relaxed)
# **Space-group type**: Fm-3m, No. 225
# **Calculated total energy**: -4.4395 eV/atom
# **ρ**: 4471 kg/m³
# **DFT formation energy**: 666 kJ/mol of formula units
# **ΔE to the lowest computed polymorph**: 644 meV per atom
# **M_tot**: 0.0 μB per cell
# **N(E_F)**: 2.19 states/eV per cell
# **Calculated volume**: 45 Å³/cell
# **Crystal system**: cubic
data_MgGeC2
_cell_length_a 3.9903
_cell_length_b 3.9903
_cell_length_c 3.9903
_cell_angle_alpha 60.00
_cell_angle_beta 60.00
_cell_angle_gamma 60.00
_space_group_name_H-M_alt 'P 1'
_space_group_IT_number 1
loop_
_space_group_symop_operation_xyz
'x,y,z'
loop_
_atom_site_label
_atom_site_type_symbol
_atom_site_fract_x
_atom_site_fract_y
_atom_site_fract_z
Mg1 Mg 0.0000 0.0000 0.0000
Ge1 Ge 0.5000 0.5000 0.5000
C1 C 0.2500 0.2500 0.2500
C2 C 0.7500 0.7500 0.7500


# Mg3GeC (PBE, relaxed)
# **Space-group type**: Pm-3m, No. 221
# **Calculated total energy**: -2.5046 eV/atom
# **ρ**: 2149 kg/m³
# **DFT formation energy**: 589 kJ/mol of formula units
# **ΔE to the lowest computed polymorph**: 1080 meV per atom
# **M_tot**: 2.0 μB per cell
# **N(E_F)**: 1.69 states/eV per cell
# **Calculated volume**: 122 Å³/cell
# **Crystal system**: cubic
data_Mg3GeC
_cell_length_a 4.9567
_cell_length_b 4.9567
_cell_length_c 4.9567
_cell_angle_alpha 90.00
_cell_angle_beta 90.00
_cell_angle_gamma 90.00
_space_group_name_H-M_alt 'P 1'
_space_group_IT_number 1
loop_
_space_group_symop_operation_xyz
'x,y,z'
loop_
_atom_site_label
_atom_site_type_symbol
_atom_site_fract_x
_atom_site_fract_y
_atom_site_fract_z
Mg1 Mg 0.0000 0.0000 0.5000
Mg2 Mg 0.0000 0.5000 0.0000
Mg3 Mg 0.5000 0.0000 0.0000
Ge1 Ge 0.0000 0.0000 0.0000
C1 C 0.5000 0.5000 0.5000


# Mg3Ni9GeC2 (PBE, relaxed)
# **Space-group type**: P-3m1, No. 164
# **Calculated total energy**: -5.4905 eV/atom
# **ρ**: 6173 kg/m³
# **DFT formation energy**: -239 kJ/mol of formula units
# **M_tot**: 0.0 μB per cell
# **N(E_F)**: 3.88 states/eV per cell
# **Calculated volume**: 188 Å³/cell
# **Crystal system**: trigonal
data_Mg3Ni9GeC2
_cell_length_a 5.1855
_cell_length_b 5.1855
_cell_length_c 8.0607
_cell_angle_alpha 90.00
_cell_angle_beta 90.00
_cell_angle_gamma 120.00
_space_group_name_H-M_alt 'P 1'
_space_group_IT_number 1
loop_
_space_group_symop_operation_xyz
'x,y,z'
loop_
_atom_site_label
_atom_site_type_symbol
_atom_site_fract_x
_atom_site_fract_y
_atom_site_fract_z
Mg1 Mg 0.0000 0.0000 0.0000
Mg2 Mg 0.3333 0.6667 0.6037
Mg3 Mg 0.6667 0.3333 0.3963
Ni1 Ni 0.0000 0.5000 0.0000
Ni2 Ni 0.1639 0.3277 0.2731
Ni3 Ni 0.1639 0.8361 0.2731
Ni4 Ni 0.3277 0.1639 0.7269
Ni5 Ni 0.5000 0.0000 0.0000
Ni6 Ni 0.5000 0.5000 0.0000
Ni7 Ni 0.6723 0.8361 0.2731
Ni8 Ni 0.8361 0.1639 0.7269
Ni9 Ni 0.8361 0.6723 0.7269
Ge1 Ge 0.0000 0.0000 0.5000
C1 C 0.3333 0.6667 0.1437
C2 C 0.6667 0.3333 0.8563


# MgNi2GeC (PBE, relaxed)
# **Space-group type**: P4/mmm, No. 123
# **Calculated total energy**: -4.4060 eV/atom
# **ρ**: 4886 kg/m³
# **DFT formation energy**: 479 kJ/mol of formula units
# **M_tot**: 0.0 μB per cell
# **N(E_F)**: 1.24 states/eV per cell
# **Calculated volume**: 77 Å³/cell
# **Crystal system**: tetragonal
data_MgNi2GeC
_cell_length_a 4.4243
_cell_length_b 4.4243
_cell_length_c 3.9301
_cell_angle_alpha 90.00
_cell_angle_beta 90.00
_cell_angle_gamma 90.00
_space_group_name_H-M_alt 'P 1'
_space_group_IT_number 1
loop_
_space_group_symop_operation_xyz
'x,y,z'
loop_
_atom_site_label
_atom_site_type_symbol
_atom_site_fract_x
_atom_site_fract_y
_atom_site_fract_z
Mg1 Mg 0.0000 0.0000 0.0000
Ni1 Ni 0.0000 0.5000 0.5000
Ni2 Ni 0.5000 0.0000 0.5000
Ge1 Ge 0.5000 0.5000 0.5000
C1 C 0.5000 0.5000 0.0000


# Mg2GePdC (PBE, relaxed)
# **Space-group type**: P4/mmm, No. 123
# **Calculated total energy**: -3.5099 eV/atom
# **ρ**: 4049 kg/m³
# **DFT formation energy**: 451 kJ/mol of formula units
# **M_tot**: 0.0 μB per cell
# **N(E_F)**: 2.29 states/eV per cell
# **Calculated volume**: 98 Å³/cell
# **Crystal system**: tetragonal
data_Mg2GePdC
_cell_length_a 5.1538
_cell_length_b 5.1538
_cell_length_c 3.7007
_cell_angle_alpha 90.00
_cell_angle_beta 90.00
_cell_angle_gamma 90.00
_space_group_name_H-M_alt 'P 1'
_space_group_IT_number 1
loop_
_space_group_symop_operation_xyz
'x,y,z'
loop_
_atom_site_label
_atom_site_type_symbol
_atom_site_fract_x
_atom_site_fract_y
_atom_site_fract_z
Mg1 Mg 0.0000 0.5000 0.0000
Mg2 Mg 0.5000 0.0000 0.0000
Ge1 Ge 0.0000 0.0000 0.0000
Pd1 Pd 0.5000 0.5000 0.5000
C1 C 0.0000 0.0000 0.5000


# MgReGe2C (PBE, relaxed)
# **Space-group type**: P4/mmm, No. 123
# **Calculated total energy**: -5.7096 eV/atom
# **ρ**: 7469 kg/m³
# **DFT formation energy**: 381 kJ/mol of formula units
# **M_tot**: 0.0 μB per cell
# **N(E_F)**: 3.23 states/eV per cell
# **Calculated volume**: 82 Å³/cell
# **Crystal system**: tetragonal
data_MgReGe2C
_cell_length_a 4.5335
_cell_length_b 4.5335
_cell_length_c 3.9788
_cell_angle_alpha 90.00
_cell_angle_beta 90.00
_cell_angle_gamma 90.00
_space_group_name_H-M_alt 'P 1'
_space_group_IT_number 1
loop_
_space_group_symop_operation_xyz
'x,y,z'
loop_
_atom_site_label
_atom_site_type_symbol
_atom_site_fract_x
_atom_site_fract_y
_atom_site_fract_z
Mg1 Mg 0.0000 0.0000 0.0000
Re1 Re 0.5000 0.5000 0.0000
Ge1 Ge 0.0000 0.5000 0.5000
Ge2 Ge 0.5000 0.0000 0.5000
C1 C 0.5000 0.5000 0.5000


# Mg2ScGeC (PBE, relaxed)
# **Space-group type**: P4/mmm, No. 123
# **Calculated total energy**: -4.8992 eV/atom
# **ρ**: 3508 kg/m³
# **DFT formation energy**: -109 kJ/mol of formula units
# **M_tot**: 0.0 μB per cell
# **N(E_F)**: 2.63 states/eV per cell
# **Calculated volume**: 84 Å³/cell
# **Crystal system**: tetragonal
data_Mg2ScGeC
_cell_length_a 4.3204
_cell_length_b 4.3204
_cell_length_c 4.5191
_cell_angle_alpha 90.00
_cell_angle_beta 90.00
_cell_angle_gamma 90.00
_space_group_name_H-M_alt 'P 1'
_space_group_IT_number 1
loop_
_space_group_symop_operation_xyz
'x,y,z'
loop_
_atom_site_label
_atom_site_type_symbol
_atom_site_fract_x
_atom_site_fract_y
_atom_site_fract_z
Mg1 Mg 0.0000 0.5000 0.0000
Mg2 Mg 0.5000 0.0000 0.0000
Sc1 Sc 0.0000 0.0000 0.5000
Ge1 Ge 0.5000 0.5000 0.5000
C1 C 0.0000 0.0000 0.0000